Record 1
CsHoCoSe3 | PBE | optimized geometry

**Energy**: -5.010 eV per atom
**Theoretical density**: 5.45 g/cm³
**Formation energy from raw total energies**: -7.07 eV/f.u.

Geometry as CIF:
```
data_CsHoCoSe3
_cell_length_a 8.380
_cell_length_b 8.380
_cell_length_c 10.852
_cell_angle_alpha 90.00
_cell_angle_beta 90.00
_cell_angle_gamma 151.68
_space_group_name_H-M_alt 'P 1'
_space_group_IT_number 1
loop_
_space_group_symop_operation_xyz
'x,y,z'
loop_
_atom_site_label
_atom_site_fract_x
_atom_site_fract_y
_atom_site_fract_z
Cs1 0.241 0.759 0.750
Cs2 0.759 0.241 0.250
Ho1 0.500 0.500 0.000
Ho2 0.500 0.500 0.500
Co1 0.034 0.966 0.250
Co2 0.966 0.034 0.750
Se1 0.114 0.886 0.065
Se2 0.114 0.886 0.435
Se3 0.447 0.553 0.250
Se4 0.553 0.447 0.750
Se5 0.886 0.114 0.565
Se6 0.886 0.114 0.935
```



Record 2
AcGaTe | PBE | optimized geometry

**Excess energy over the best structure of this formula in the dataset**: 83.9 meV per atom
**Energy**: -4.153 eV per atom
**Theoretical density**: 7.71 g/cm³
**Formation energy from raw total energies**: -2.18 eV/f.u.

Geometry as CIF:
```
data_AcGaTe
_cell_length_a 5.105
_cell_length_b 5.105
_cell_length_c 4.047
_cell_angle_alpha 90.00
_cell_angle_beta 90.00
_cell_angle_gamma 120.00
_space_group_name_H-M_alt 'P 1'
_space_group_IT_number 1
loop_
_space_group_symop_operation_xyz
'x,y,z'
loop_
_atom_site_label
_atom_site_fract_x
_atom_site_fract_y
_atom_site_fract_z
Ac1 0.000 0.000 0.000
Ga1 0.333 0.667 0.501
Te1 0.667 0.333 0.500
```



Record 3
Cd2Ga8Ag | PBE | optimized geometry

**ΔH_f (0 K)**: 0.066 eV per atom
**Excess energy over the best structure of this formula in the dataset**: 7.4 meV per atom
**Energy**: -2.561 eV per atom
**Theoretical density**: 6.36 g/cm³

Geometry as CIF:
```
data_Cd2Ga8Ag
_cell_length_a 7.024
_cell_length_b 7.024
_cell_length_c 5.050
_cell_angle_alpha 99.52
_cell_angle_beta 99.52
_cell_angle_gamma 72.61
_space_group_name_H-M_alt 'P 1'
_space_group_IT_number 1
loop_
_space_group_symop_operation_xyz
'x,y,z'
loop_
_atom_site_label
_atom_site_fract_x
_atom_site_fract_y
_atom_site_fract_z
Cd1 0.136 0.136 0.047
Cd2 0.864 0.864 0.953
Ga1 0.228 0.647 0.712
Ga2 0.257 0.257 0.612
Ga3 0.353 0.772 0.288
Ga4 0.384 0.384 0.180
Ga5 0.616 0.616 0.820
Ga6 0.647 0.228 0.712
Ga7 0.743 0.743 0.388
Ga8 0.772 0.353 0.288
Ag1 0.000 0.000 0.500
```



Record 4
Pm12Nd7Th | PBE | optimized geometry

**ΔH_f (0 K)**: 0.634 eV per atom
**Excess energy over the best structure of this formula in the dataset**: 408.7 meV per atom
**Energy**: -4.256 eV per atom
**Theoretical density**: 6.37 g/cm³

Geometry as CIF:
```
data_Pm12Nd7Th
_cell_length_a 10.033
_cell_length_b 10.033
_cell_length_c 10.033
_cell_angle_alpha 109.47
_cell_angle_beta 109.47
_cell_angle_gamma 109.47
_space_group_name_H-M_alt 'P 1'
_space_group_IT_number 1
loop_
_space_group_symop_operation_xyz
'x,y,z'
loop_
_atom_site_label
_atom_site_fract_x
_atom_site_fract_y
_atom_site_fract_z
Pm1 0.002 0.761 0.240
Pm2 0.239 0.240 0.479
Pm3 0.239 0.760 0.998
Pm4 0.240 0.002 0.761
Pm5 0.240 0.479 0.239
Pm6 0.479 0.239 0.240
Pm7 0.521 0.761 0.760
Pm8 0.760 0.521 0.761
Pm9 0.760 0.998 0.239
Pm10 0.761 0.240 0.002
Pm11 0.761 0.760 0.521
Pm12 0.998 0.239 0.760
Nd1 0.000 0.000 0.500
Nd2 0.000 0.500 0.000
Nd3 0.000 0.500 0.500
Nd4 0.500 0.000 0.000
Nd5 0.500 0.000 0.500
Nd6 0.500 0.500 0.000
Nd7 0.500 0.500 0.500
Th1 0.000 0.000 0.000
```